Here is Re4SbMo after structural relaxation from the Alexandria database. Energies are from PBE-GGA.

Results
* energy relative to the elements, uncorrected: 0.608 eV/atom
* DOS at the Fermi energy: 1.20 states/eV per atom
* total energy: -10.183 eV/atom
* space group: F-43m

a b c (Å): 5.232 5.232 5.232
angles (deg): 60.00 60.00 60.00
Fractional positions:
1 Re 0.125 0.125 0.125
2 Re 0.125 0.125 0.625
3 Re 0.125 0.625 0.125
4 Re 0.625 0.125 0.125
5 Sb 0.750 0.750 0.750
6 Mo 0.500 0.500 0.500